VASP calculation (PBE) on crystalline Li4CdPb at its relaxed geometry.

```
12
Lattice="3.0106 -8.1078 0.0000 3.0106 8.1078 0.0000 0.0000 0.0000 4.6740" Properties=species:S:1:pos:R:3 pbc="T T T"
Li 1.4934 3.3753 1.1685
Li 1.4314 0.6815 1.1685
Li 1.4314 -0.6815 3.5055
Li 1.4934 -3.3753 3.5055
Li 4.5277 3.3753 1.1685
Li 4.5898 0.6815 1.1685
Li 4.5898 -0.6815 3.5055
Li 4.5277 -3.3753 3.5055
Cd 3.0106 1.9093 3.5055
Cd 3.0106 -1.9093 1.1685
Pb 3.0106 6.0087 1.1685
Pb 3.0106 -6.0087 3.5055
```

Output
E_form   -0.246 eV per atom
Total DFT energy (no corrections)   -2.29 eV/atom
Energy above the lowest structure with this stoichiometry   0.0 meV per atom
Mass density   5.06 g/cm3